TbDy5Cu6 | GGA-PBE | optimized geometry

Geometry as POSCAR:
```
TbDy5Cu6
1.0
4.6751 -0.0280 1.5580
0.0371 6.8808 0.0124
0.0005 -0.0140 7.7918
Cu Dy Tb
6 5 1
Direct
0.8326 0.7496 0.3349
0.4999 0.7483 0.0000
0.8325 0.2504 0.3349
0.5001 0.2517 0.0000
0.1674 0.2504 0.6651
0.1675 0.7496 0.6651
0.3332 0.0000 0.3336
0.3335 0.5000 0.3330
0.6665 0.5000 0.6670
0.6668 0.0000 0.6664
0.0000 0.5000 0.0000
0.0000 0.0000 0.0000
```

Total magnetic moment ... 0.0 μB per formula unit
ΔH_f (0 K) ... -0.253 eV per atom
DOS at the Fermi energy ... 5.2 states/eV/f.u.
Space group ... Cmmm, No. 65
Uncorrected energy ... -4.605 eV per atom

---

Ca3AlZn2Au9 | GGA-PBE | optimized geometry

Geometry as POSCAR:
```
Ca3AlZn2Au9
1.0
-4.1101 4.0371 3.5723
-0.5598 -6.7345 0.5348
5.9660 0.0451 6.8132
Au Ca Zn Al
9 3 2 1
Direct
0.7171 0.8585 0.2900
0.8585 0.7171 0.7100
0.5000 0.0000 0.0000
0.0000 0.5000 0.0000
0.1415 0.8585 0.2900
0.2829 0.1415 0.7100
0.1415 0.2829 0.2900
0.5000 0.5000 0.0000
0.8585 0.1415 0.7100
0.3333 0.6667 0.7156
0.0000 0.0000 0.0000
0.6667 0.3333 0.2844
0.3333 0.6667 0.1802
0.6667 0.3333 0.8198
0.0000 0.0000 0.5000
```

Total magnetic moment ... 0.0 μB per formula unit
ΔH_f (0 K) ... -0.352 eV per atom
DOS at the Fermi energy ... 6.0 states/eV/f.u.
Space group ... P-3m1, No. 164
Uncorrected energy ... -3.138 eV per atom

---

Question: What is the formula in the first record?
Answer: TbDy5Cu6

---

Question: Which formula does entry 1 have?
Answer: TbDy5Cu6